VASP calculation (PBE-GGA) on Dy2HoCdN after structural relaxation.

Cell: 4.8299 4.8299 4.7952 Å, 90.00 90.00 90.00°
Space group P4/mmm (No. 123)
Symmetry-distinct sites (fractional):
Dy1 0.0000 0.5000 0.0000 [2 per cell]
Ho1 0.0000 0.0000 0.5000 [1 per cell]
Cd1 0.5000 0.5000 0.5000 [1 per cell]
N1 0.0000 0.0000 0.0000 [1 per cell]

Computed properties:
* magnetization: 0.0 Bohr magnetons per cell
* uncorrected formation energy: -0.85 eV per atom
* D(E_F): 4.51 states/eV/f.u.


VASP calculation (PBE-GGA) on Sb5Rh after structural relaxation.

Cell: 13.1653 3.7342 7.3440 Å, 90.00 108.26 90.00°
Space group Cm (No. 8)
Symmetry-distinct sites (fractional):
Sb1 0.0000 0.0000 0.0000 [2 per cell]
Sb2 0.0246 0.0000 0.6238 [2 per cell]
Sb3 0.1445 0.5000 0.3073 [2 per cell]
Sb4 0.2524 0.0000 0.7489 [2 per cell]
Sb5 0.2861 0.0000 0.1591 [2 per cell]
Rh1 0.1427 0.5000 0.9283 [2 per cell]

Computed properties:
* energy above the most stable polymorph in this dataset: 13.1 meV per atom
* magnetization: 0.0 Bohr magnetons per cell
* uncorrected formation energy: -0.04 eV per atom
* D(E_F): 1.30 states/eV/f.u.


VASP calculation (PBE-GGA) on Hf2IrAu2 after structural relaxation.

Cell: 7.3621 7.3621 3.4727 Å, 90.00 90.00 90.00°
Space group P4/mbm (No. 127)
Symmetry-distinct sites (fractional):
Hf1 0.1760 0.3240 0.0000 [4 per cell]
Ir1 0.0000 0.0000 0.5000 [2 per cell]
Au1 0.1299 0.6299 0.5000 [4 per cell]

Computed properties:
* ΔE_f: -0.39 eV/atom
* magnetization: 0.0 Bohr magnetons per cell
* D(E_F): 1.98 states/eV/f.u.


VASP calculation (PBE-GGA) on PAuC2 after structural relaxation.

Cell: 8.0141 2.5528 5.5486 Å, 90.00 97.66 90.00°
Space group Cm (No. 8)
Symmetry-distinct sites (fractional):
P1 0.0000 0.0000 0.0000 [2 per cell]
Au1 0.4219 0.5000 0.5617 [2 per cell]
C1 0.2163 0.0000 0.1328 [2 per cell]
C2 0.3052 0.5000 0.1654 [2 per cell]

Computed properties:
* ΔE_f: 0.55 eV/atom
* magnetization: 0.0 Bohr magnetons per cell
* D(E_F): 0.69 states/eV/f.u.


VASP calculation (PBE-GGA) on MgAlPb2 after structural relaxation.

Cell: 4.5917 4.5917 9.8535 Å, 90.00 90.00 90.00°
Space group I-4m2 (No. 119)
Symmetry-distinct sites (fractional):
Mg1 0.0000 0.0000 0.0000 [2 per cell]
Al1 0.0000 0.5000 0.2500 [2 per cell]
Pb1 0.0000 0.0000 0.5000 [2 per cell]
Pb2 0.0000 0.5000 0.7500 [2 per cell]

Computed properties:
* ΔE_f: 0.13 eV/atom
* energy above the most stable polymorph in this dataset: 44.8 meV per atom
* magnetization: 0.0 Bohr magnetons per cell
* D(E_F): 2.07 states/eV/f.u.


VASP calculation (PBE-GGA) on UMoW2 after structural relaxation.

Cell: 3.0707 3.0707 7.6236 Å, 90.00 90.00 90.00°
Space group P4/mmm (No. 123)
Symmetry-distinct sites (fractional):
U1 0.0000 0.0000 0.0000 [1 per cell]
Mo1 0.0000 0.0000 0.5000 [1 per cell]
W1 0.5000 0.5000 0.2872 [2 per cell]

Computed properties:
* ΔE_f: 0.33 eV/atom
* magnetization: 0.0 Bohr magnetons per cell
* D(E_F): 6.30 states/eV/f.u.